A relaxed Ba2YMnO5 crystal. Source: Alexandria, functional PBE+U.

## Properties
- Theoretical density: 5.3 g/cm³
- Calculated total energy: -7.241 eV per atom
- Space group: No. 36

a b c (Å): 7.9277 7.9277 11.2008
angles (deg): 90.00 90.00 153.51
With the nearest neighbours (Å) after each atom.
Positions (direct):
1 Ba 0.1153 0.8847 0.5000  5 O 2.72-2.83
2 Ba 0.1321 0.8679 0.1414  7 O 2.72-2.98
3 Ba 0.8679 0.1321 0.6414  7 O 2.72-2.98
4 Ba 0.8847 0.1153 0.0000  5 O 2.72-2.83
5 Y 0.2077 0.7923 0.8415  5 O 2.16-2.37
6 Y 0.7923 0.2077 0.3415  5 O 2.16-2.37
7 Mn 0.4482 0.5518 0.2486  4 O 1.87-2.05
8 Mn 0.5518 0.4482 0.7486  4 O 1.87-2.05
9 O 0.0475 0.9525 0.7974  2 Mn 1.90
10 O 0.2945 0.7055 0.4696  2 Y 2.32
11 O 0.3186 0.6814 0.2100  1 Mn 2.05
12 O 0.3471 0.6529 0.8273  1 Y 2.16
13 O 0.4955 0.5045 0.6006  1 Mn 1.87
14 O 0.5045 0.4955 0.1006  1 Mn 1.87
15 O 0.6529 0.3471 0.3273  1 Y 2.16
16 O 0.6814 0.3186 0.7100  1 Mn 2.05
17 O 0.7055 0.2945 0.9696  2 Y 2.32
18 O 0.9525 0.0475 0.2974  2 Mn 1.90